This record from OQMD via LeMat-Bulk describes an optimized crystal structure of TaCl2. The functional is PBE.

Unit cell a=7.556 b=7.556 c=7.556 alpha=60.00 beta=60.00 gamma=60.00
Fractional coordinates of all 6 atoms:
Ta1 0.125 0.125 0.125
Ta2 0.875 0.875 0.875
Cl1 0.000 0.000 0.000
Cl2 0.000 0.000 0.500
Cl3 0.000 0.500 0.000
Cl4 0.500 0.000 0.000

Magnetization   0.05 μB per cell
Electronic total energy   -5.11 eV/atom
Calculated volume   305.0 Å³ per cell


This record from OQMD via LeMat-Bulk describes an optimized crystal structure of ThFe4B4. The functional is PBE.

Unit cell a=5.104 b=5.104 c=7.027 alpha=90.00 beta=90.00 gamma=90.00
Fractional coordinates of all 18 atoms:
Th1 0.250 0.750 0.250
Th2 0.750 0.250 0.750
Fe1 0.010 0.750 0.619
Fe2 0.250 0.510 0.881
Fe3 0.250 0.990 0.881
Fe4 0.490 0.750 0.619
Fe5 0.510 0.250 0.381
Fe6 0.750 0.010 0.119
Fe7 0.750 0.490 0.119
Fe8 0.990 0.250 0.381
B1 0.076 0.250 0.091
B2 0.250 0.076 0.591
B3 0.250 0.424 0.591
B4 0.424 0.250 0.091
B5 0.576 0.750 0.909
B6 0.750 0.576 0.409
B7 0.750 0.924 0.409
B8 0.924 0.750 0.909

Magnetization   0.03 μB per cell
Electronic total energy   -7.95 eV/atom
Calculated volume   183.1 Å³ per cell


This record from OQMD via LeMat-Bulk describes an optimized crystal structure of TmSnTe3Au. The functional is PBE.

Unit cell a=13.327 b=4.430 c=12.133 alpha=90.00 beta=90.00 gamma=90.00
Fractional coordinates of all 24 atoms:
Tm1 0.016 0.250 0.194
Tm2 0.484 0.750 0.694
Tm3 0.516 0.250 0.306
Tm4 0.984 0.750 0.806
Sn1 0.238 0.250 0.421
Sn2 0.262 0.750 0.921
Sn3 0.738 0.250 0.079
Sn4 0.762 0.750 0.579
Te1 0.033 0.750 0.365
Te2 0.098 0.250 0.951
Te3 0.195 0.750 0.679
Te4 0.305 0.250 0.179
Te5 0.402 0.750 0.451
Te6 0.467 0.250 0.865
Te7 0.533 0.750 0.135
Te8 0.598 0.250 0.549
Te9 0.695 0.750 0.821
Te10 0.805 0.250 0.321
Te11 0.902 0.750 0.049
Te12 0.967 0.250 0.635
Au1 0.191 0.750 0.225
Au2 0.309 0.250 0.725
Au3 0.691 0.750 0.275
Au4 0.809 0.250 0.775

Magnetization   0.00 μB per cell
Electronic total energy   -4.14 eV/atom
Calculated volume   716.3 Å³ per cell
Relative energy among the computed polymorphs   24 meV per atom


This record from OQMD via LeMat-Bulk describes an optimized crystal structure of GdH. The functional is PBE.

Unit cell a=3.711 b=3.711 c=3.711 alpha=60.00 beta=60.00 gamma=60.00
Fractional coordinates of all 2 atoms:
Gd1 0.000 0.000 0.000
H1 0.750 0.750 0.750

Magnetization   0.00 μB per cell
Electronic total energy   -4.39 eV/atom
Calculated volume   36.1 Å³ per cell


This record from OQMD via LeMat-Bulk describes an optimized crystal structure of AgB2Ir2. The functional is PBE.

Unit cell a=5.976 b=5.976 c=5.976 alpha=146.71 beta=146.71 gamma=47.80
Fractional coordinates of all 5 atoms:
Ag1 0.000 0.000 0.000
B1 0.250 0.750 0.500
B2 0.750 0.250 0.500
Ir1 0.366 0.366 0.000
Ir2 0.634 0.634 0.000

Magnetization   0.00 μB per cell
Electronic total energy   -6.66 eV/atom
Calculated volume   64.0 Å³ per cell
Relative energy among the computed polymorphs   87 meV per atom


This record from OQMD via LeMat-Bulk describes an optimized crystal structure of PrScAsO. The functional is PBE.

Unit cell a=4.274 b=4.274 c=8.886 alpha=90.00 beta=90.00 gamma=90.00
Fractional coordinates of all 8 atoms:
Pr1 0.250 0.750 0.000
Pr2 0.750 0.250 0.000
Sc1 0.250 0.250 0.434
Sc2 0.750 0.750 0.566
As1 0.250 0.250 0.767
As2 0.750 0.750 0.233
O1 0.250 0.750 0.500
O2 0.750 0.250 0.500

Magnetization   0.13 μB per cell
Electronic total energy   -6.69 eV/atom
Calculated volume   162.3 Å³ per cell
Relative energy among the computed polymorphs   520 meV per atom


This record from OQMD via LeMat-Bulk describes an optimized crystal structure of PuTeSe4. The functional is PBE.

Unit cell a=6.804 b=8.175 c=8.185 alpha=60.24 beta=88.25 gamma=70.35
Fractional coordinates of all 12 atoms:
Pu1 0.000 0.250 0.000
Pu2 0.000 0.750 0.000
Te1 0.000 0.250 0.500
Te2 0.000 0.750 0.500
Se1 0.244 0.497 0.868
Se2 0.244 0.997 0.868
Se3 0.248 0.495 0.371
Se4 0.249 0.994 0.371
Se5 0.751 0.006 0.629
Se6 0.752 0.505 0.629
Se7 0.756 0.003 0.132
Se8 0.756 0.503 0.132

Magnetization   8.07 μB per cell
Electronic total energy   -5.80 eV/atom
Calculated volume   367.0 Å³ per cell


This record from OQMD via LeMat-Bulk describes an optimized crystal structure of GaReNO. The functional is PBE.

Unit cell a=3.741 b=3.741 c=6.547 alpha=90.00 beta=90.00 gamma=90.00
Fractional coordinates of all 8 atoms:
Ga1 0.250 0.250 0.127
Ga2 0.750 0.750 0.873
Re1 0.250 0.750 0.500
Re2 0.750 0.250 0.500
N1 0.250 0.250 0.641
N2 0.750 0.750 0.359
O1 0.250 0.750 0.000
O2 0.750 0.250 0.000

Magnetization   0.02 μB per cell
Electronic total energy   -7.39 eV/atom
Calculated volume   91.6 Å³ per cell
Relative energy among the computed polymorphs   176 meV per atom


This record from OQMD via LeMat-Bulk describes an optimized crystal structure of Cs3Li2ReO6. The functional is PBE.

Unit cell a=7.114 b=7.114 c=5.284 alpha=96.70 beta=96.70 gamma=122.50
Fractional coordinates of all 12 atoms:
Cs1 0.000 0.000 0.000
Cs2 0.188 0.812 0.500
Cs3 0.812 0.188 0.500
Li1 0.408 0.592 0.000
Li2 0.592 0.408 0.000
Re1 0.500 0.500 0.500
O1 0.243 0.463 0.278
O2 0.316 0.316 0.718
O3 0.463 0.243 0.278
O4 0.537 0.757 0.722
O5 0.684 0.684 0.282
O6 0.757 0.537 0.722

Magnetization   0.00 μB per cell
Electronic total energy   -5.71 eV/atom
Calculated volume   218.8 Å³ per cell
Relative energy among the computed polymorphs   0 meV per atom


This record from OQMD via LeMat-Bulk describes an optimized crystal structure of Li4IrPtPb2. The functional is PBE.

Unit cell a=4.554 b=4.554 c=6.456 alpha=90.00 beta=90.00 gamma=90.00
Fractional coordinates of all 8 atoms:
Li1 0.000 0.000 0.000
Li2 0.000 0.500 0.247
Li3 0.500 0.000 0.753
Li4 0.500 0.500 0.500
Ir1 0.000 0.000 0.500
Pt1 0.500 0.500 0.000
Pb1 0.000 0.500 0.742
Pb2 0.500 0.000 0.258

Magnetization   0.01 μB per cell
Electronic total energy   -4.07 eV/atom
Calculated volume   133.9 Å³ per cell


This record from OQMD via LeMat-Bulk describes an optimized crystal structure of PrGdCo2Ge2. The functional is PBE.

Unit cell a=4.133 b=4.133 c=6.798 alpha=90.00 beta=90.00 gamma=90.00
Fractional coordinates of all 6 atoms:
Pr1 0.000 0.000 0.000
Gd1 0.500 0.500 0.622
Co1 0.000 0.500 0.323
Co2 0.500 0.000 0.323
Ge1 0.000 0.000 0.511
Ge2 0.500 0.500 0.135

Magnetization   0.74 μB per cell
Electronic total energy   -6.10 eV/atom
Calculated volume   116.1 Å³ per cell


This record from OQMD via LeMat-Bulk describes an optimized crystal structure of CoB. The functional is PBE.

Unit cell a=2.883 b=2.883 c=2.883 alpha=60.00 beta=60.00 gamma=60.00
Fractional coordinates of all 2 atoms:
Co1 0.000 0.000 0.000
B1 0.500 0.500 0.500

Magnetization   0.01 μB per cell
Electronic total energy   -6.78 eV/atom
Calculated volume   16.9 Å³ per cell